First-principles (PBE) data for crystalline LiCe2Au at its relaxed geometry, as listed in the Alexandria database.

The structure belongs to space group P4/mmm (No. 123); the cell edges are 3.916, 3.916 and 6.710 Å and the angles 90.00°, 90.00° and 90.00°. The asymmetric unit holds Li at (0.000, 0.000, 0.000), Ce at (0.500, 0.500, 0.283) and Au at (0.000, 0.000, 0.500).

The value obtained for the formation energy is -0.71 eV per formula unit. The value obtained for the volume is 25.7 Å³ per atom.